[1]
! TlRh3 | Alexandria | GGA-PBE | relaxed; values from VASP
! VASP energy   -5.90 eV per atom
! SG   P4/mmm
! ΔH_f (0 K)   207.9 meV/atom
&SYSTEM
  ibrav = 0, nat = 4, ntyp = 2
/
ATOMIC_SPECIES
Tl 204.38 Tl.upf
Rh 102.91 Rh.upf
CELL_PARAMETERS angstrom
2.901 0.000 0.000
0.000 2.901 0.000
0.000 0.000 7.694
ATOMIC_POSITIONS angstrom
Tl 0.000 0.000 0.000
Rh 0.000 0.000 3.847
Rh 1.451 1.451 2.091
Rh 1.451 1.451 5.603

=====

[2]
! TmZr6P9O36 | Alexandria | GGA-PBE | relaxed; values from VASP
! Formation energy without anion corrections   -2760 meV/atom
! VASP energy   -8.20 eV per atom
! SG   P-3c1
&SYSTEM
  ibrav = 0, nat = 104, ntyp = 4
/
ATOMIC_SPECIES
Tm 168.93 Tm.upf
Zr 91.22 Zr.upf
P 30.97 P.upf
O 16.00 O.upf
CELL_PARAMETERS angstrom
8.976 0.000 0.000
-4.488 7.773 0.000
0.000 0.000 22.598
ATOMIC_POSITIONS angstrom
Tm 0.000 0.000 0.000
Tm 0.000 0.000 11.299
Zr 0.000 0.000 3.341
Zr 0.000 0.000 7.958
Zr 0.000 0.000 14.640
Zr 0.000 0.000 19.257
Zr 0.000 5.182 0.748
Zr 0.000 5.182 7.063
Zr 0.000 5.182 12.047
Zr 0.000 5.182 18.362
Zr 4.488 2.591 4.235
Zr 4.488 2.591 10.551
Zr 4.488 2.591 15.534
Zr 4.488 2.591 21.849
P -1.309 2.266 5.649
P -3.179 5.507 16.948
P -1.183 2.907 20.844
P -2.562 5.296 9.545
P 2.617 0.000 5.649
P 1.309 2.266 16.948
P 1.183 2.907 9.545
P -1.379 7.344 20.844
P 3.109 0.429 13.052
P 1.926 2.478 1.753
P 2.562 5.296 20.844
P 1.379 7.344 9.545
P 5.867 0.429 1.753
P 3.305 4.867 13.052
P 6.359 0.000 16.948
P 3.179 5.507 5.649
P 7.050 2.478 13.052
P 5.671 4.867 1.753
O -0.566 1.438 20.911
O -0.649 1.580 4.410
O -3.444 6.421 15.709
O -3.526 6.564 9.612
O -1.039 3.732 13.114
O -1.775 5.008 1.815
O -0.712 3.613 22.118
O -1.715 5.350 10.819
O 0.566 1.438 9.612
O -0.680 3.602 19.581
O -1.708 5.383 8.283
O -2.959 7.545 20.911
O -0.671 3.633 5.855
O -1.677 5.376 17.154
O 0.649 1.580 15.709
O -2.795 7.545 4.410
O 1.529 0.229 12.986
O 0.962 1.210 1.687
O 1.693 0.228 6.889
O 1.044 1.352 18.188
O 0.680 3.602 8.283
O -1.028 6.561 19.581
O 0.671 3.633 17.154
O -1.006 6.538 5.855
O 0.712 3.613 10.819
O -1.003 6.584 22.118
O 1.039 3.732 1.815
O -0.737 6.807 13.114
O 3.460 1.213 14.315
O 2.780 2.390 3.016
O 3.485 1.190 11.778
O 2.773 2.423 0.480
O 3.482 1.235 5.444
O 2.811 2.397 16.743
O 3.751 0.966 20.783
O 2.712 2.765 9.484
O 1.775 5.008 13.114
O 0.737 6.807 1.815
O 1.677 5.376 5.855
O 1.006 6.538 17.154
O 1.715 5.350 22.118
O 1.003 6.584 10.819
O 1.708 5.383 19.581
O 1.028 6.561 8.283
O 5.225 0.966 9.484
O 3.449 4.042 20.783
O 5.491 1.190 0.480
O 3.775 4.160 11.778
O 5.494 1.235 16.743
O 3.817 4.141 5.444
O 5.516 1.213 3.016
O 3.808 4.171 14.315
O 3.444 6.421 4.410
O 2.795 7.545 15.709
O 3.526 6.564 20.911
O 2.959 7.545 9.612
O 7.283 0.228 18.188
O 3.839 6.193 6.889
O 6.165 2.397 5.444
O 5.159 4.141 16.743
O 7.447 0.229 1.687
O 6.196 2.390 14.315
O 5.168 4.171 3.016
O 3.921 6.335 12.986
O 6.203 2.423 11.778
O 5.200 4.160 0.480
O 6.263 2.765 20.783
O 5.527 4.042 9.484
O 8.014 1.210 12.986
O 7.931 1.352 6.889
O 5.137 6.193 18.188
O 5.054 6.335 1.687

=====

[3]
! K2CaGeO4 | Alexandria | GGA-PBE | relaxed; values from VASP
! Formation energy without anion corrections   -1927 meV/atom
! VASP energy   -5.51 eV per atom
! SG   I-42m
&SYSTEM
  ibrav = 0, nat = 8, ntyp = 4
/
ATOMIC_SPECIES
K 39.10 K.upf
Ca 40.08 Ca.upf
Ge 72.64 Ge.upf
O 16.00 O.upf
CELL_PARAMETERS angstrom
-3.318 3.318 2.986
3.318 -3.318 2.986
3.318 3.318 -2.986
ATOMIC_POSITIONS angstrom
K 3.318 0.000 0.000
K 0.000 3.318 0.000
Ca 0.000 0.000 0.000
Ge 0.000 0.000 2.986
O 2.329 2.329 -1.141
O 0.990 0.990 1.845
O 0.990 -0.990 4.126
O -0.990 0.990 4.126

=====

[4]
! DyThTeIr | Alexandria | GGA-PBE | relaxed; values from VASP
! Formation energy without anion corrections   -1120 meV/atom
! VASP energy   -7.13 eV per atom
! SG   R3m
&SYSTEM
  ibrav = 0, nat = 4, ntyp = 4
/
ATOMIC_SPECIES
Dy 162.50 Dy.upf
Th 232.04 Th.upf
Te 127.60 Te.upf
Ir 192.22 Ir.upf
CELL_PARAMETERS angstrom
2.096 1.210 7.469
-2.096 1.210 7.469
0.000 -2.421 7.469
ATOMIC_POSITIONS angstrom
Dy 0.000 0.000 0.000
Th 0.000 0.000 17.935
Te 0.000 0.000 5.311
Ir 0.000 0.000 8.988

=====

[5]
! ZnHgAs2 | Alexandria | GGA-PBE | relaxed; values from VASP
! VASP energy   -2.54 eV per atom
! SG   P4/mmm
! ΔH_f (0 K)   178.4 meV/atom
&SYSTEM
  ibrav = 0, nat = 4, ntyp = 3
/
ATOMIC_SPECIES
Zn 65.41 Zn.upf
Hg 200.59 Hg.upf
As 74.92 As.upf
CELL_PARAMETERS angstrom
3.456 0.000 0.000
0.000 3.456 0.000
0.000 0.000 8.477
ATOMIC_POSITIONS angstrom
Zn 0.000 0.000 0.000
Hg 0.000 0.000 4.238
As 1.728 1.728 1.217
As 1.728 1.728 7.259

=====

[6]
! ZrRe2PPb | Alexandria | GGA-PBE | relaxed; values from VASP
! VASP energy   -5.81 eV per atom
! SG   P4/mmm
! ΔH_f (0 K)   2707.5 meV/atom
&SYSTEM
  ibrav = 0, nat = 5, ntyp = 4
/
ATOMIC_SPECIES
Zr 91.22 Zr.upf
Re 186.21 Re.upf
P 30.97 P.upf
Pb 207.20 Pb.upf
CELL_PARAMETERS angstrom
4.942 0.000 0.000
0.000 4.942 0.000
0.000 0.000 5.331
ATOMIC_POSITIONS angstrom
Zr 0.000 0.000 0.000
Re 0.000 2.471 2.665
Re 2.471 0.000 2.665
P 2.471 2.471 0.000
Pb 0.000 0.000 2.665

=====

[7]
! Pr2P4PtRh3 | Alexandria | GGA-PBE | relaxed; values from VASP
! VASP energy   -7.00 eV per atom
! SG   P-4m2
! ΔH_f (0 K)   -1065.9 meV/atom
&SYSTEM
  ibrav = 0, nat = 10, ntyp = 4
/
ATOMIC_SPECIES
Pr 140.91 Pr.upf
P 30.97 P.upf
Pt 195.08 Pt.upf
Rh 102.91 Rh.upf
CELL_PARAMETERS angstrom
4.229 0.000 0.000
0.000 4.229 0.000
0.000 0.000 9.568
ATOMIC_POSITIONS angstrom
Pr 0.000 2.115 2.311
Pr 2.115 0.000 7.257
P 0.000 0.000 0.000
P 0.000 2.115 6.122
P 2.115 0.000 3.446
P 2.115 2.115 0.000
Pt 0.000 0.000 4.784
Rh 0.000 2.115 8.514
Rh 2.115 0.000 1.054
Rh 2.115 2.115 4.784

=====

[8]
! SiAg2Rh | Alexandria | GGA-PBE | relaxed; values from VASP
! Formation energy without anion corrections   72 meV/atom
! VASP energy   -4.55 eV per atom
! SG   I-4m2
&SYSTEM
  ibrav = 0, nat = 4, ntyp = 3
/
ATOMIC_SPECIES
Si 28.09 Si.upf
Ag 107.87 Ag.upf
Rh 102.91 Rh.upf
CELL_PARAMETERS angstrom
-2.209 2.209 3.177
2.209 -2.209 3.177
2.209 2.209 -3.177
ATOMIC_POSITIONS angstrom
Si 0.000 0.000 0.000
Ag 2.209 0.000 1.589
Ag 0.000 0.000 3.177
Rh 0.000 2.209 1.589